(1)
A crystal of BePdPt relaxed with PBEsol. Source: the Alexandria database, functional meta-GGA SCAN.

Output
final energy: -36.4310 eV/atom
theoretical density: 13.992 g/cm³
crystal system: tetragonal
total magnetic moment: 0.0 μB/cell
density of states at the Fermi level: 0.43 states/eV per atom
formation enthalpy at 0 K: -0.66 eV/atom

```
BePdPt
1.0
-1.3669 1.3669 4.9307
1.3669 -1.3669 4.9307
1.3669 1.3669 -4.9307
Be Pd Pt
1 1 1
Direct
0.0000 0.0000 0.0000 Be
0.3526 0.3526 0.0000 Pd
0.6410 0.6410 0.0000 Pt
```

=====

(2)
A crystal of Be2PdPt relaxed with PBEsol. Source: the Alexandria database, functional meta-GGA SCAN.

Output
final energy: -28.7626 eV/atom
theoretical density: 12.004 g/cm³
crystal system: cubic
total magnetic moment: 0.0 μB/cell
density of states at the Fermi level: 0.35 states/eV per atom
formation enthalpy at 0 K: -0.84 eV/atom

```
Be2PdPt
1.0
0.0000 2.8063 2.8063
2.8063 0.0000 2.8063
2.8063 2.8063 0.0000
Be Pd Pt
2 1 1
Direct
0.2500 0.2500 0.2500 Be
0.7500 0.7500 0.7500 Be
0.0000 0.0000 0.0000 Pd
0.5000 0.5000 0.5000 Pt
```

=====

(3)
A crystal of BePdPtRh2 relaxed with PBEsol. Source: the Alexandria database, functional meta-GGA SCAN.

Output
final energy: -33.7032 eV/atom
theoretical density: 10.236 g/cm³
crystal system: tetragonal
total magnetic moment: 2.0 μB/cell
density of states at the Fermi level: 1.02 states/eV per atom
formation enthalpy at 0 K: 1.27 eV/atom

```
BePdPtRh2
1.0
4.6560 0.0000 0.0000
0.0000 4.6560 0.0000
0.0000 0.0000 3.8637
Be Pd Pt Rh
1 1 1 2
Direct
0.0000 0.0000 0.0000 Be
0.0000 0.0000 0.5000 Pd
0.5000 0.5000 0.0000 Pt
0.0000 0.5000 0.5000 Rh
0.5000 0.0000 0.5000 Rh
```

=====

(4)
A crystal of BeTlPdPt2 relaxed with PBEsol. Source: the Alexandria database, functional meta-GGA SCAN.

Output
final energy: -48.5682 eV/atom
theoretical density: 10.166 g/cm³
crystal system: tetragonal
total magnetic moment: 0.6 μB/cell
density of states at the Fermi level: 0.77 states/eV per atom
formation enthalpy at 0 K: 1.41 eV/atom

```
BeTlPdPt2
1.0
4.8691 0.0000 0.0000
0.0000 4.8691 0.0000
0.0000 0.0000 4.8917
Be Tl Pd Pt
1 1 1 2
Direct
0.0000 0.0000 0.0000 Be
0.5000 0.5000 0.0000 Tl
0.5000 0.5000 0.5000 Pd
0.0000 0.5000 0.5000 Pt
0.5000 0.0000 0.5000 Pt
```

=====

(5)
A crystal of RbBePd2 relaxed with PBEsol. Source: the Alexandria database, functional meta-GGA SCAN.

Output
final energy: -22.5483 eV/atom
theoretical density: 5.326 g/cm³
crystal system: tetragonal
total magnetic moment: 0.0 μB/cell
density of states at the Fermi level: 0.26 states/eV per atom
formation enthalpy at 0 K: 0.11 eV/atom

```
RbBePd2
1.0
-2.5984 2.5984 7.0954
2.5984 -2.5984 7.0954
2.5984 2.5984 -7.0954
Rb Be Pd
2 2 4
Direct
0.0000 0.0000 0.0000 Rb
0.7500 0.2500 0.5000 Rb
0.2500 0.7500 0.5000 Be
0.5000 0.5000 0.0000 Be
0.3326 0.6250 0.2076 Pd
0.3750 0.5826 0.7076 Pd
0.4174 0.1250 0.7924 Pd
0.8750 0.6674 0.2924 Pd
```

=====

(6)
A crystal of BeRePd3 relaxed with PBEsol. Source: the Alexandria database, functional meta-GGA SCAN.

Output
final energy: -34.1992 eV/atom
theoretical density: 12.143 g/cm³
crystal system: cubic
total magnetic moment: 4.0 μB/cell
density of states at the Fermi level: 0.90 states/eV per atom
formation enthalpy at 0 K: 0.56 eV/atom

```
BeRePd3
1.0
4.1282 0.0000 0.0000
0.0000 4.1282 0.0000
0.0000 0.0000 4.1282
Be Re Pd
1 1 3
Direct
0.0000 0.0000 0.0000 Be
0.5000 0.5000 0.5000 Re
0.0000 0.0000 0.5000 Pd
0.0000 0.5000 0.0000 Pd
0.5000 0.0000 0.0000 Pd
```

=====

(7)
A crystal of BeRePd3 relaxed with PBEsol. Source: the Alexandria database, functional meta-GGA SCAN.

Output
final energy: -33.0997 eV/atom
theoretical density: 8.168 g/cm³
crystal system: cubic
total magnetic moment: 0.0 μB/cell
density of states at the Fermi level: 0.88 states/eV per atom
formation enthalpy at 0 K: 1.66 eV/atom

```
BeRePd3
1.0
4.7115 0.0000 0.0000
0.0000 4.7115 0.0000
0.0000 0.0000 4.7115
Be Re Pd
1 1 3
Direct
0.0000 0.0000 0.0000 Be
0.5000 0.5000 0.5000 Re
0.0000 0.5000 0.5000 Pd
0.5000 0.0000 0.5000 Pd
0.5000 0.5000 0.0000 Pd
```

=====

(8)
A crystal of Be2PdRh2 relaxed with PBEsol. Source: the Alexandria database, functional meta-GGA SCAN.

Output
final energy: -22.3356 eV/atom
theoretical density: 9.753 g/cm³
crystal system: tetragonal
total magnetic moment: 0.0 μB/cell
density of states at the Fermi level: 0.78 states/eV per atom
formation enthalpy at 0 K: -0.53 eV/atom

```
Be2PdRh2
1.0
6.2788 0.0000 0.0000
0.0000 6.2788 0.0000
0.0000 0.0000 2.8525
Be Pd Rh
4 2 4
Direct
0.1303 0.3697 0.0000 Be
0.3697 0.8697 0.0000 Be
0.6303 0.1303 0.0000 Be
0.8697 0.6303 0.0000 Be
0.0000 0.0000 0.0000 Pd
0.5000 0.5000 0.0000 Pd
0.1638 0.6638 0.5000 Rh
0.3362 0.1638 0.5000 Rh
0.6638 0.8362 0.5000 Rh
0.8362 0.3362 0.5000 Rh
```